Crystalline LiSbTe2S at its relaxed geometry, computed with PBE.

Computed properties:
VASP energy, eV/atom: -3.065
Size of the total moment, μB per cell: 1.021
Fermi-level density of states, states/eV/cell: 2.940

abc: 5.358 5.358 5.262
angles: 90.00 90.00 90.00
Element x y z (fractional)
1 Li 0.000 0.000 0.000
2 Sb 0.500 0.500 0.000
3 Te 0.000 0.500 0.500
4 Te 0.500 0.000 0.500
5 S 0.500 0.500 0.500

=====

Crystalline LiSbTe2S at its relaxed geometry, computed with PBE.

Computed properties:
VASP energy, eV/atom: -2.798
Size of the total moment, μB per cell: 0.000
Fermi-level density of states, states/eV/cell: 5.682

abc: 4.839 4.839 5.365
angles: 90.00 90.00 90.00
Element x y z (fractional)
1 Li 0.000 0.000 0.000
2 Sb 0.000 0.000 0.500
3 Te 0.000 0.500 0.000
4 Te 0.500 0.000 0.000
5 S 0.500 0.500 0.500

=====

Crystalline LiTl2Sb2S6 at its relaxed geometry, computed with PBE.

Computed properties:
VASP energy, eV/atom: -3.955
Size of the total moment, μB per cell: 0.000
Fermi-level density of states, states/eV/cell: 5.499

abc: 6.527 6.527 7.820
angles: 97.46 97.46 119.72
Element x y z (fractional)
1 Li 0.000 0.000 0.000
2 Tl 0.162 0.838 0.500
3 Tl 0.838 0.162 0.500
4 Sb 0.334 0.666 0.000
5 Sb 0.666 0.334 0.000
6 S 0.062 0.403 0.195
7 S 0.285 0.285 0.806
8 S 0.403 0.062 0.195
9 S 0.597 0.938 0.805
10 S 0.715 0.715 0.194
11 S 0.938 0.597 0.805

=====

Crystalline LiTl2SbS4 at its relaxed geometry, computed with PBE.

Computed properties:
VASP energy, eV/atom: -3.870
Size of the total moment, μB per cell: 0.000
Fermi-level density of states, states/eV/cell: 0.000

abc: 6.657 6.657 6.657
angles: 112.69 112.69 103.21
Element x y z (fractional)
1 Li 0.000 0.000 0.000
2 Tl 0.250 0.750 0.500
3 Tl 0.500 0.500 0.000
4 Sb 0.750 0.250 0.500
5 S 0.056 0.629 0.875
6 S 0.371 0.246 0.427
7 S 0.754 0.181 0.125
8 S 0.819 0.944 0.573

=====

Crystalline LiTlSbS3 at its relaxed geometry, computed with PBE.

Computed properties:
VASP energy, eV/atom: -3.941
Size of the total moment, μB per cell: 0.000
Fermi-level density of states, states/eV/cell: 5.507

abc: 8.634 3.896 8.980
angles: 90.00 107.32 90.00
Element x y z (fractional)
1 Li 0.078 0.250 0.094
2 Li 0.922 0.750 0.906
3 Tl 0.213 0.250 0.763
4 Tl 0.787 0.750 0.237
5 Sb 0.326 0.750 0.344
6 Sb 0.674 0.250 0.656
7 S 0.128 0.250 0.373
8 S 0.217 0.750 0.046
9 S 0.458 0.750 0.665
10 S 0.542 0.250 0.335
11 S 0.783 0.250 0.954
12 S 0.872 0.750 0.627

=====

Crystalline LiTl4Sb3S8 at its relaxed geometry, computed with PBE.

Computed properties:
VASP energy, eV/atom: -3.899
Size of the total moment, μB per cell: 0.000
Fermi-level density of states, states/eV/cell: 7.711

abc: 8.397 8.397 8.397
angles: 57.30 57.30 57.30
Element x y z (fractional)
1 Li 0.000 0.000 0.000
2 Tl 0.000 0.000 0.500
3 Tl 0.000 0.500 0.000
4 Tl 0.500 0.000 0.000
5 Tl 0.500 0.500 0.500
6 Sb 0.000 0.500 0.500
7 Sb 0.500 0.000 0.500
8 Sb 0.500 0.500 0.000
9 S 0.236 0.236 0.736
10 S 0.236 0.736 0.236
11 S 0.261 0.261 0.261
12 S 0.264 0.764 0.764
13 S 0.736 0.236 0.236
14 S 0.739 0.739 0.739
15 S 0.764 0.264 0.764
16 S 0.764 0.764 0.264

=====

Crystalline Li2TmSbS4 at its relaxed geometry, computed with PBE.

Computed properties:
VASP energy, eV/atom: -4.871
Size of the total moment, μB per cell: 0.000
Fermi-level density of states, states/eV/cell: 0.000

abc: 6.586 3.877 6.769
angles: 90.00 110.05 90.00
Element x y z (fractional)
1 Li 0.000 0.000 0.000
2 Li 0.000 0.500 0.500
3 Tm 0.500 0.000 0.500
4 Sb 0.500 0.500 0.000
5 S 0.247 0.000 0.743
6 S 0.252 0.500 0.253
7 S 0.748 0.500 0.747
8 S 0.753 0.000 0.257

=====

Crystalline Li3Tm2SbS6 at its relaxed geometry, computed with PBE.

Computed properties:
VASP energy, eV/atom: -5.090
Size of the total moment, μB per cell: 0.000
Fermi-level density of states, states/eV/cell: 0.000

abc: 6.727 6.727 6.565
angles: 99.83 99.83 120.03
Element x y z (fractional)
1 Li 0.000 0.000 0.000
2 Li 0.340 0.660 0.000
3 Li 0.660 0.340 0.000
4 Tm 0.167 0.833 0.500
5 Tm 0.833 0.167 0.500
6 Sb 0.500 0.500 0.500
7 S 0.079 0.417 0.250
8 S 0.245 0.245 0.750
9 S 0.417 0.079 0.250
10 S 0.583 0.921 0.750
11 S 0.755 0.755 0.250
12 S 0.921 0.583 0.750